# Tm4Pd7Rh | Alexandria | PBE | relaxed
data_Tm4Pd7Rh
_symmetry_space_group_name_H-M 'P 1'
_symmetry_Int_Tables_number 1
_symmetry_space_group_name_Hall 'P 1'
_cell_length_a 5.476
_cell_length_b 6.955
_cell_length_c 7.054
_cell_angle_alpha 62.39
_cell_angle_beta 75.15
_cell_angle_gamma 77.00
loop_
_atom_site_label
_atom_site_fract_x
_atom_site_fract_y
_atom_site_fract_z
Tm1 0.110 0.195 0.236
Tm2 0.266 0.629 0.316
Tm3 0.734 0.371 0.684
Tm4 0.890 0.805 0.764
Pd1 0.194 0.410 0.782
Pd2 0.314 0.139 0.582
Pd3 0.384 0.697 0.863
Pd4 0.500 0.000 0.000
Pd5 0.616 0.303 0.137
Pd6 0.686 0.861 0.418
Pd7 0.806 0.590 0.218
Rh1 0.000 0.000 0.000
# * E: -5.94 eV/atom
# * formation energy: -0.81 eV/atom
# * volume: 228.3 Å³ per cell

---

# Li2Nb2CoSe6 | Alexandria | PBE | relaxed
data_Li2Nb2CoSe6
_symmetry_space_group_name_H-M 'P 1'
_symmetry_Int_Tables_number 1
_symmetry_space_group_name_Hall 'P 1'
_cell_length_a 6.282
_cell_length_b 6.282
_cell_length_c 6.889
_cell_angle_alpha 97.12
_cell_angle_beta 97.12
_cell_angle_gamma 121.78
loop_
_atom_site_label
_atom_site_fract_x
_atom_site_fract_y
_atom_site_fract_z
Li1 0.188 0.812 0.000
Li2 0.812 0.188 0.000
Nb1 0.364 0.636 0.500
Nb2 0.636 0.364 0.500
Co1 0.000 0.000 0.500
Se1 0.050 0.385 0.717
Se2 0.228 0.228 0.245
Se3 0.385 0.050 0.717
Se4 0.615 0.950 0.283
Se5 0.772 0.772 0.755
Se6 0.950 0.615 0.283
# * formation energy from raw total energies: -787 kJ/mol of formula units
# * E: -5.47 eV/atom
# * volume: 223.5 Å³ per cell

---

# TaTeCl9 | Alexandria | PBE | relaxed
data_TaTeCl9
_symmetry_space_group_name_H-M 'P 1'
_symmetry_Int_Tables_number 1
_symmetry_space_group_name_Hall 'P 1'
_cell_length_a 12.016
_cell_length_b 12.016
_cell_length_c 20.876
_cell_angle_alpha 107.49
_cell_angle_beta 107.49
_cell_angle_gamma 33.73
loop_
_atom_site_label
_atom_site_fract_x
_atom_site_fract_y
_atom_site_fract_z
Ta1 0.067 0.652 0.630
Ta2 0.348 0.933 0.870
Ta3 0.652 0.067 0.130
Ta4 0.933 0.348 0.370
Te1 0.224 0.615 0.836
Te2 0.385 0.776 0.664
Te3 0.615 0.224 0.336
Te4 0.776 0.385 0.164
Cl1 0.026 0.804 0.927
Cl2 0.040 0.883 0.649
Cl3 0.105 0.429 0.628
Cl4 0.106 0.170 0.265
Cl5 0.117 0.246 0.929
Cl6 0.117 0.960 0.851
Cl7 0.170 0.106 0.765
Cl8 0.196 0.974 0.573
Cl9 0.245 0.485 0.539
Cl10 0.246 0.117 0.429
Cl11 0.263 0.382 0.821
Cl12 0.380 0.443 0.707
Cl13 0.382 0.263 0.321
Cl14 0.407 0.538 0.401
Cl15 0.429 0.105 0.128
Cl16 0.443 0.380 0.207
Cl17 0.462 0.593 0.099
Cl18 0.485 0.245 0.039
Cl19 0.515 0.755 0.961
Cl20 0.538 0.407 0.901
Cl21 0.557 0.620 0.793
Cl22 0.571 0.895 0.872
Cl23 0.593 0.462 0.599
Cl24 0.618 0.737 0.679
Cl25 0.620 0.557 0.293
Cl26 0.737 0.618 0.179
Cl27 0.754 0.883 0.571
Cl28 0.755 0.515 0.461
Cl29 0.804 0.026 0.427
Cl30 0.830 0.894 0.235
Cl31 0.883 0.040 0.149
Cl32 0.883 0.754 0.071
Cl33 0.894 0.830 0.735
Cl34 0.895 0.571 0.372
Cl35 0.960 0.117 0.351
Cl36 0.974 0.196 0.073
# * formation energy from raw total energies: -1076 kJ/mol of formula units
# * E: -3.89 eV/atom
# * excess energy over the best structure of this formula in the dataset: 0.00 eV per formula unit
# * volume: 1589.4 Å³ per cell

---

# Rb2Bi7Pd12 | Alexandria | PBE | relaxed
data_Rb2Bi7Pd12
_symmetry_space_group_name_H-M 'P 1'
_symmetry_Int_Tables_number 1
_symmetry_space_group_name_Hall 'P 1'
_cell_length_a 10.821
_cell_length_b 10.821
_cell_length_c 4.724
_cell_angle_alpha 90.00
_cell_angle_beta 90.00
_cell_angle_gamma 120.00
loop_
_atom_site_label
_atom_site_fract_x
_atom_site_fract_y
_atom_site_fract_z
Rb1 0.333 0.667 0.221
Rb2 0.667 0.333 0.779
Bi1 0.000 0.000 0.500
Bi2 0.101 0.710 0.697
Bi3 0.290 0.391 0.697
Bi4 0.391 0.101 0.303
Bi5 0.609 0.899 0.697
Bi6 0.710 0.609 0.303
Bi7 0.899 0.290 0.303
Pd1 0.052 0.432 0.793
Pd2 0.124 0.875 0.177
Pd3 0.125 0.249 0.177
Pd4 0.249 0.124 0.823
Pd5 0.380 0.948 0.793
Pd6 0.432 0.380 0.207
Pd7 0.568 0.620 0.793
Pd8 0.620 0.052 0.207
Pd9 0.751 0.876 0.177
Pd10 0.875 0.751 0.823
Pd11 0.876 0.125 0.823
Pd12 0.948 0.568 0.207
# * E: -4.60 eV/atom
# * formation energy: -0.24 eV/atom
# * volume: 479.1 Å³ per cell

---

# ZrOs | Alexandria | PBE | relaxed
data_ZrOs
_symmetry_space_group_name_H-M 'P 1'
_symmetry_Int_Tables_number 1
_symmetry_space_group_name_Hall 'P 1'
_cell_length_a 4.510
_cell_length_b 4.510
_cell_length_c 5.490
_cell_angle_alpha 90.00
_cell_angle_beta 90.00
_cell_angle_gamma 120.00
loop_
_atom_site_label
_atom_site_fract_x
_atom_site_fract_y
_atom_site_fract_z
Zr1 0.333 0.667 0.250
Zr2 0.667 0.333 0.750
Os1 0.333 0.667 0.750
Os2 0.667 0.333 0.250
# * E: -9.17 eV/atom
# * formation energy: 0.72 eV/atom
# * volume: 96.7 Å³ per cell

---

# CuBrF | Alexandria | PBE | relaxed
data_CuBrF
_symmetry_space_group_name_H-M 'P 1'
_symmetry_Int_Tables_number 1
_symmetry_space_group_name_Hall 'P 1'
_cell_length_a 4.553
_cell_length_b 4.553
_cell_length_c 4.553
_cell_angle_alpha 123.36
_cell_angle_beta 123.36
_cell_angle_gamma 84.27
loop_
_atom_site_label
_atom_site_fract_x
_atom_site_fract_y
_atom_site_fract_z
Cu1 0.000 0.000 0.000
Br1 0.666 0.666 0.000
F1 0.264 0.264 0.000
# * formation energy from raw total energies: -147 kJ/mol of formula units
# * E: -3.05 eV/atom
# * excess energy over the best structure of this formula in the dataset: 0.94 eV per formula unit
# * volume: 63.0 Å³ per cell

---

Q: The lowest volume belongs to which entry?
A: CuBrF

---

Q: The highest volume belongs to which entry?
A: TaTeCl9

---

What did the fifth record say?
# ZrOs | Alexandria | PBE | relaxed
data_ZrOs
_symmetry_space_group_name_H-M 'P 1'
_symmetry_Int_Tables_number 1
_symmetry_space_group_name_Hall 'P 1'
_cell_length_a 4.510
_cell_length_b 4.510
_cell_length_c 5.490
_cell_angle_alpha 90.00
_cell_angle_beta 90.00
_cell_angle_gamma 120.00
loop_
_atom_site_label
_atom_site_fract_x
_atom_site_fract_y
_atom_site_fract_z
Zr1 0.333 0.667 0.250
Zr2 0.667 0.333 0.750
Os1 0.333 0.667 0.750
Os2 0.667 0.333 0.250
# * E: -9.17 eV/atom
# * formation energy: 0.72 eV/atom
# * volume: 96.7 Å³ per cell

---

Q: Look up the E of the fifth one.
A: -9.17 eV/atom